Density functional theory data (PBE) for a geometry-optimized SmCuIr structure.

Results
energy above the lowest structure with this stoichiometry: 251 meV/atom

Lattice parameters (Å, degrees): 9.5443 5.7375 4.6629 90.00 118.99 90.00
Closest atoms and distances in Å follow each position.
Space group C2/m (No. 12)
Asymmetric unit:
Sm: 0.1296 0.0000 0.3792  4 Ir 2.91-2.92, 3 Cu 2.99-3.03, 2 Sm 3.18
Cu: 0.0124 0.5000 0.2624  2 Cu 2.34, 2 Ir 2.62
Ir: 0.2500 0.2500 0.0000  2 Cu 2.62, 2 Ir 2.87, 4 Sm 2.91-2.92